An optimized crystal structure of CaLa2Ta. Source: the Alexandria database, functional PBE.

Unit cell a=3.900 b=3.900 c=8.400 alpha=90.00 beta=90.00 gamma=90.00
Fractional positions:
1 Ca 0.000 0.000 0.000
2 La 0.000 0.000 0.606
3 La 0.500 0.500 0.347
4 Ta 0.500 0.500 0.758

Calculated values
The calculation puts the excess energy over the best structure of this formula in the dataset at 0.807 eV/f.u. As for the electronic total energy: -5.3809 eV/atom. The formation energy comes out at 2.2 eV per formula unit. The total moment comes out at 0.0 μB per formula unit.